(1)
VASP calculation (GGA-PBE) on a geometry-optimized Li4CeU3Se8 structure.

SG = R-3m (166)
ρ = 6.7 Mg/m³
N(E_F) = 14.364 states/eV/f.u.
uncorrected formation energy = -20.6 eV per formula unit
M_tot = 10.0 μB/cell

Lattice parameters (Å, degrees): 8.119 8.103 8.118 120.07 120.00 90.00
Fractional coordinates of all 16 atoms:
Se  0.753  0.759  0.506
U  0.500  0.500  0.500
Li  0.500  0.000  0.000
Li  0.000  0.000  0.500
Se  0.247  0.241  0.494
U  0.000  0.500  0.500
Li  0.000  0.000  0.000
Se  0.744  0.239  0.487
Se  0.748  0.761  0.005
Se  0.252  0.239  0.995
Li  0.500  0.000  0.500
Ce  0.000  0.500  0.000
U  0.500  0.500  0.000
Se  0.744  0.239  0.995
Se  0.256  0.761  0.513
Se  0.256  0.761  0.005



(2)
VASP calculation (GGA-PBE) on a geometry-optimized Li3Ce2USe6 structure.

SG = C2/m (12)
ρ = 5.8 Mg/m³
N(E_F) = 18.381 states/eV/f.u.
uncorrected formation energy = -17.5 eV per formula unit
M_tot = 5.0 μB/cell

Lattice parameters (Å, degrees): 7.192 7.192 6.952 99.92 99.92 120.01
Fractional coordinates of all 12 atoms:
Se  0.087  0.413  0.260
Se  0.913  0.587  0.740
Li  0.500  0.500  0.500
Se  0.759  0.759  0.258
Se  0.413  0.087  0.260
Ce  0.333  0.667  0.000
Li  0.836  0.164  0.500
Se  0.587  0.913  0.740
Li  0.164  0.836  0.500
U  0.000  0.000  0.000
Ce  0.667  0.333  0.000
Se  0.241  0.241  0.742



(3)
VASP calculation (GGA-PBE) on a geometry-optimized LiCeUSe4 structure.

SG = Imma (74)
ρ = 5.5 Mg/m³
N(E_F) = 12.877 states/eV/f.u.
uncorrected formation energy = -9.8 eV per formula unit
M_tot = 6.0 μB/cell

Lattice parameters (Å, degrees): 8.476 8.413 8.413 59.23 59.75 59.75
Fractional coordinates of all 14 atoms:
U  0.000  0.000  0.000
U  0.000  0.500  0.500
Se  0.239  0.767  0.755
Se  0.761  0.745  0.733
Li  0.373  0.377  0.877
Se  0.765  0.753  0.253
Se  0.230  0.753  0.253
Se  0.235  0.247  0.747
Se  0.239  0.255  0.267
Ce  0.000  0.000  0.500
Ce  0.500  0.000  0.500
Li  0.627  0.623  0.123
Se  0.761  0.233  0.245
Se  0.770  0.247  0.747



(4)
VASP calculation (GGA-PBE) on a geometry-optimized LiCeU2Se5 structure.

SG = I4/mcm (140)
ρ = 8.5 Mg/m³
N(E_F) = 12.478 states/eV/f.u.
uncorrected formation energy = -11.5 eV per formula unit
M_tot = 5.3 μB/cell

Lattice parameters (Å, degrees): 7.465 7.465 8.857 114.92 114.92 90.00
Fractional coordinates of all 18 atoms:
Se  0.000  0.000  0.000
Se  0.965  0.465  0.285
Se  0.820  0.965  0.285
Ce  0.250  0.250  0.500
Se  0.320  0.820  0.285
Se  0.035  0.535  0.715
Se  0.535  0.680  0.715
Li  0.250  0.750  0.500
U  0.884  0.616  0.000
Se  0.680  0.180  0.715
U  0.384  0.884  0.000
Se  0.465  0.320  0.285
U  0.616  0.116  0.000
Se  0.180  0.035  0.715
Ce  0.750  0.750  0.500
Se  0.500  0.500  0.000
U  0.116  0.384  0.000
Li  0.750  0.250  0.500



(5)
VASP calculation (GGA-PBE) on a geometry-optimized LiCe2USe4 structure.

SG = P2/m (10)
ρ = 7.0 Mg/m³
N(E_F) = 15.585 states/eV/f.u.
uncorrected formation energy = -12.0 eV per formula unit
M_tot = 5.3 μB/cell

Lattice parameters (Å, degrees): 4.125 7.080 7.217 70.38 90.00 90.00
Fractional coordinates of all 8 atoms:
Se  0.000  0.266  0.239
Se  0.500  0.737  0.247
Se  0.500  0.263  0.753
Li  0.500  0.500  0.000
U  0.000  0.500  0.500
Ce  0.000  0.000  0.000
Se  0.000  0.734  0.761
Ce  0.500  0.000  0.500



(6)
VASP calculation (GGA-PBE) on a geometry-optimized Li3Ce3VSe8 structure.

SG = R-3m (166)
ρ = 5.0 Mg/m³
N(E_F) = 17.645 states/eV/f.u.
uncorrected formation energy = -21.2 eV per formula unit
M_tot = 4.0 μB/cell

Lattice parameters (Å, degrees): 8.144 8.143 7.997 120.63 90.00 120.00
Fractional coordinates of all 15 atoms:
Se  0.774  0.007  0.740
Se  0.226  0.993  0.260
Se  0.767  0.993  0.260
Ce  0.500  0.500  0.500
V  0.000  0.000  0.500
Li  0.500  0.500  0.000
Se  0.767  0.534  0.260
Se  0.245  0.490  0.236
Se  0.755  0.510  0.764
Ce  0.500  0.000  0.500
Se  0.233  0.007  0.740
Se  0.233  0.466  0.740
Ce  0.000  0.500  0.500
Li  0.000  0.000  0.000
Li  0.000  0.500  0.000



(7)
VASP calculation (GGA-PBE) on a geometry-optimized LiCe3Y2Se6 structure.

SG = C2/m (12)
ρ = 6.0 Mg/m³
N(E_F) = 19.807 states/eV/f.u.
uncorrected formation energy = -21.1 eV per formula unit
M_tot = 3.5 μB/cell

Lattice parameters (Å, degrees): 7.131 7.131 7.203 99.52 99.52 120.03
Fractional coordinates of all 12 atoms:
Se  0.403  0.078  0.234
Ce  0.500  0.500  0.500
Y  0.334  0.666  0.000
Ce  0.832  0.168  0.500
Ce  0.168  0.832  0.500
Se  0.753  0.753  0.235
Se  0.922  0.597  0.766
Se  0.247  0.247  0.765
Y  0.666  0.334  0.000
Se  0.078  0.403  0.234
Se  0.597  0.922  0.766
Li  0.000  0.000  0.000



(8)
VASP calculation (GGA-PBE) on a geometry-optimized Li4CeY3Se8 structure.

SG = R-3m (166)
ρ = 4.7 Mg/m³
N(E_F) = 6.145 states/eV/f.u.
uncorrected formation energy = -26.8 eV per formula unit
M_tot = 1.0 μB/cell

Lattice parameters (Å, degrees): 8.216 8.053 8.215 120.69 120.00 90.00
Fractional coordinates of all 16 atoms:
Y  0.500  0.500  0.500
Se  0.751  0.753  0.502
Y  0.000  0.500  0.500
Se  0.745  0.756  0.001
Se  0.745  0.244  0.489
Ce  0.000  0.500  0.000
Se  0.255  0.756  0.001
Li  0.500  0.000  0.000
Se  0.249  0.247  0.498
Li  0.000  0.000  0.500
Se  0.745  0.244  0.999
Se  0.255  0.756  0.511
Li  0.000  0.000  0.000
Y  0.500  0.500  0.000
Se  0.255  0.244  0.999
Li  0.500  0.000  0.500



(9)
VASP calculation (GGA-PBE) on a geometry-optimized LiCe2Y3Se6 structure.

SG = C2/m (12)
ρ = 5.8 Mg/m³
N(E_F) = 15.400 states/eV/f.u.
uncorrected formation energy = -21.1 eV per formula unit
M_tot = 2.1 μB/cell

Lattice parameters (Å, degrees): 7.119 7.119 7.152 99.61 99.61 120.08
Fractional coordinates of all 12 atoms:
Ce  0.335  0.665  0.000
Se  0.237  0.237  0.748
Li  0.000  0.000  0.000
Y  0.832  0.168  0.500
Se  0.916  0.594  0.747
Se  0.084  0.406  0.253
Ce  0.665  0.335  0.000
Se  0.406  0.084  0.253
Se  0.594  0.916  0.747
Se  0.763  0.763  0.252
Y  0.500  0.500  0.500
Y  0.168  0.832  0.500



(10)
VASP calculation (GGA-PBE) on a geometry-optimized Li4Ce3ZrSe8 structure.

SG = R-3m (166)
ρ = 5.1 Mg/m³
N(E_F) = 20.390 states/eV/f.u.
uncorrected formation energy = -24.2 eV per formula unit
M_tot = 3.9 μB/cell

Lattice parameters (Å, degrees): 8.181 8.061 8.182 120.47 119.99 90.00
Fractional coordinates of all 16 atoms:
Ce  0.500  0.500  0.000
Li  0.500  0.000  0.000
Se  0.244  0.755  0.487
Li  0.000  0.000  0.000
Se  0.245  0.235  0.490
Ce  0.500  0.500  0.500
Se  0.755  0.765  0.510
Se  0.756  0.245  0.988
Se  0.232  0.245  0.988
Ce  0.000  0.500  0.500
Li  0.000  0.000  0.500
Li  0.500  0.000  0.500
Se  0.756  0.245  0.513
Se  0.244  0.755  0.012
Zr  0.000  0.500  0.000
Se  0.768  0.755  0.012



(11)
VASP calculation (GGA-PBE) on a geometry-optimized Li2CeZrSe4 structure.

SG = P2/m (10)
ρ = 5.2 Mg/m³
N(E_F) = 7.641 states/eV/f.u.
uncorrected formation energy = -11.5 eV per formula unit
M_tot = 1.5 μB/cell

Lattice parameters (Å, degrees): 3.970 6.892 6.964 109.13 90.00 90.00
Fractional coordinates of all 8 atoms:
Se  0.500  0.730  0.739
Ce  0.000  0.000  0.000
Se  0.000  0.735  0.252
Li  0.000  0.500  0.500
Se  0.500  0.270  0.261
Li  0.500  0.000  0.500
Zr  0.500  0.500  0.000
Se  0.000  0.265  0.748



(12)
VASP calculation (GGA-PBE) on a geometry-optimized Li2CeZr2Se6 structure.

SG = C2/m (12)
ρ = 5.1 Mg/m³
N(E_F) = 9.324 states/eV/f.u.
uncorrected formation energy = -15.6 eV per formula unit
M_tot = 1.6 μB/cell

Lattice parameters (Å, degrees): 6.833 6.833 6.931 99.48 99.48 120.53
Fractional coordinates of all 11 atoms:
Se  0.732  0.732  0.752
Li  0.836  0.164  0.000
Se  0.081  0.434  0.749
Se  0.566  0.919  0.251
Ce  0.000  0.000  0.500
Se  0.268  0.268  0.248
Zr  0.334  0.666  0.500
Se  0.434  0.081  0.749
Li  0.164  0.836  0.000
Zr  0.666  0.334  0.500
Se  0.919  0.566  0.251



(13)
VASP calculation (GGA-PBE) on a geometry-optimized LiCeZrSe3 structure.

SG = P2_1/m (11)
ρ = 5.9 Mg/m³
N(E_F) = 6.977 states/eV/f.u.
uncorrected formation energy = -8.7 eV per formula unit
M_tot = 1.7 μB/cell

Lattice parameters (Å, degrees): 3.909 8.181 8.772 106.27 90.00 90.00
Fractional coordinates of all 12 atoms:
Zr  0.250  0.643  0.129
Zr  0.750  0.357  0.871
Li  0.750  0.905  0.404
Se  0.250  0.554  0.804
Se  0.250  0.770  0.487
Se  0.750  0.894  0.121
Se  0.750  0.230  0.513
Ce  0.250  0.197  0.236
Ce  0.750  0.803  0.764
Se  0.250  0.106  0.879
Li  0.250  0.095  0.596
Se  0.750  0.446  0.196



(14)
VASP calculation (GGA-PBE) on a geometry-optimized LiCe2ZrSe5 structure.

SG = Cmc2_1 (36)
ρ = 6.0 Mg/m³
N(E_F) = 14.571 states/eV/f.u.
uncorrected formation energy = -14.1 eV per formula unit
M_tot = 0.0 μB/cell

Lattice parameters (Å, degrees): 4.059 8.851 12.198 90.00 90.00 103.26
Fractional coordinates of all 18 atoms:
Se  0.950  0.899  0.561
Ce  0.109  0.217  0.689
Li  0.446  0.892  0.454
Se  0.690  0.380  0.857
Se  0.715  0.430  0.167
Ce  0.130  0.260  0.306
Se  0.642  0.284  0.502
Ce  0.891  0.783  0.189
Se  0.050  0.101  0.061
Se  0.285  0.570  0.667
Se  0.358  0.716  0.002
Se  0.505  0.010  0.274
Ce  0.870  0.740  0.806
Se  0.310  0.620  0.357
Se  0.495  0.990  0.774
Zr  0.803  0.606  0.514
Li  0.554  0.108  0.954
Zr  0.197  0.394  0.014



(15)
VASP calculation (GGA-PBE) on a geometry-optimized LiCe2ZrSe4 structure.

SG = P2/m (10)
ρ = 6.2 Mg/m³
N(E_F) = 12.994 states/eV/f.u.
uncorrected formation energy = -12.4 eV per formula unit
M_tot = 2.0 μB/cell

Lattice parameters (Å, degrees): 4.068 6.840 7.137 70.22 90.00 90.00
Fractional coordinates of all 8 atoms:
Ce  0.000  0.000  0.000
Li  0.500  0.500  0.000
Se  0.000  0.275  0.241
Se  0.500  0.726  0.254
Se  0.500  0.274  0.746
Zr  0.000  0.500  0.500
Ce  0.500  0.000  0.500
Se  0.000  0.725  0.759



(16)
VASP calculation (GGA-PBE) on a geometry-optimized Li2Ce3Si4 structure.

SG = C2/m (12)
ρ = 5.0 Mg/m³
N(E_F) = 17.321 states/eV/f.u.
uncorrected formation energy = -4.8 eV per formula unit
M_tot = 2.0 μB/cell

Lattice parameters (Å, degrees): 4.279 5.747 8.334 104.89 90.00 111.85
Fractional coordinates of all 9 atoms:
Si  0.719  0.437  0.051
Ce  0.000  0.000  0.000
Si  0.934  0.868  0.597
Ce  0.348  0.697  0.321
Si  0.066  0.132  0.403
Li  0.355  0.711  0.689
Ce  0.652  0.303  0.679
Si  0.281  0.563  0.949
Li  0.645  0.289  0.311



(17)
VASP calculation (GGA-PBE) on a geometry-optimized LiCe2Si structure.

SG = P4/mmm (123)
ρ = 6.2 Mg/m³
N(E_F) = 6.844 states/eV/f.u.
uncorrected formation energy = -1.1 eV per formula unit
M_tot = 0.1 μB/cell

Lattice parameters (Å, degrees): 4.365 4.408 4.408 90.00 90.00 90.00
Fractional coordinates of all 4 atoms:
Ce  0.000  0.500  0.000
Si  0.500  0.500  0.500
Ce  0.000  0.000  0.500
Li  0.500  0.000  0.000



(18)
VASP calculation (GGA-PBE) on a geometry-optimized LiCeSi3 structure.

SG = Cmcm (63)
ρ = 4.0 Mg/m³
N(E_F) = 4.721 states/eV/f.u.
uncorrected formation energy = -2.2 eV per formula unit
M_tot = 0.0 μB/cell

Lattice parameters (Å, degrees): 3.878 4.182 11.995 100.04 90.00 90.00
Fractional coordinates of all 10 atoms:
Si  0.750  0.527  0.054
Si  0.250  0.473  0.946
Si  0.250  0.682  0.365
Si  0.750  0.627  0.253
Ce  0.750  0.925  0.850
Si  0.750  0.318  0.635
Ce  0.250  0.075  0.150
Si  0.250  0.373  0.747
Li  0.250  0.795  0.590
Li  0.750  0.205  0.410



(19)
VASP calculation (GGA-PBE) on a geometry-optimized Li4CeSi4 structure.

SG = P4_2/nmc (137)
ρ = 3.0 Mg/m³
N(E_F) = 7.398 states/eV/f.u.
uncorrected formation energy = -1.8 eV per formula unit
M_tot = 1.6 μB/cell

Lattice parameters (Å, degrees): 5.969 5.969 8.583 90.00 90.00 90.00
Fractional coordinates of all 18 atoms:
Si  0.500  0.195  0.796
Li  0.000  0.745  0.406
Si  0.000  0.305  0.704
Si  0.305  0.000  0.296
Si  0.500  0.805  0.796
Li  0.255  0.000  0.594
Ce  0.500  0.500  0.500
Ce  0.000  0.000  0.000
Si  0.000  0.695  0.704
Li  0.755  0.500  0.906
Si  0.195  0.500  0.204
Li  0.245  0.500  0.906
Li  0.500  0.245  0.094
Si  0.695  0.000  0.296
Si  0.805  0.500  0.204
Li  0.000  0.255  0.406
Li  0.500  0.755  0.094
Li  0.745  0.000  0.594



(20)
VASP calculation (GGA-PBE) on a geometry-optimized Li2CeSi4 structure.

SG = R-3m (166)
ρ = 3.5 Mg/m³
N(E_F) = 7.009 states/eV/f.u.
uncorrected formation energy = -1.9 eV per formula unit
M_tot = 1.2 μB/cell

Lattice parameters (Å, degrees): 4.045 4.045 9.226 77.34 77.34 60.00
Fractional coordinates of all 7 atoms:
Li  0.138  0.138  0.587
Si  0.597  0.597  0.210
Si  0.403  0.403  0.790
Si  0.759  0.759  0.723
Ce  0.000  0.000  0.000
Li  0.862  0.862  0.413
Si  0.241  0.241  0.277



Calculated values (eV/atom) of E_tot for the records, taken in order: -5.99 -5.61 -6.12 -6.59 -6.37 -5.45 -6.22 -5.48 -6.27 -5.38 -5.47 -5.76 -5.92 -5.98 -6.08 -5.35 -5.08 -5.26 -4.13 -4.76.